Density functional theory data (PBE-GGA) for crystalline Ba2CuTe at its relaxed geometry.

Geometry as POSCAR:
```
Ba2CuTe
1.0
-6.094 3.855 -0.292
-5.338 -1.310 -4.676
4.269 -3.390 4.729
Ba Te Cu
2 1 1
Direct
0.250 0.750 0.500
0.000 0.000 0.000
0.750 0.250 0.500
0.500 0.500 0.000
```

Output
The raw total energy is -3.353 eV/atom. The calculation puts the calculated density at 5.2 Mg/m³. The total magnetization is 0.0707 μB per atom. The symmetry is I-4m2 (119).